Material: MnV2AuN
Method: DFT, PBE-GGA
State: relaxed

Cell lengths 3.980, 3.980, 3.980 Å; angles 90.00, 90.00, 90.00 degrees
Element x y z (fractional)
Mn1 0.000 0.000 0.000
V1 0.000 0.500 0.500
V2 0.500 0.000 0.500
Au1 0.500 0.500 0.000
N1 0.000 0.000 0.500

Its density of states at the Fermi level is 4.72 states/eV per cell. The calculation puts the distance to the lowest polymorph of the same formula at 0.000 kcal/mol of atoms. The calculation puts the total energy at -8.255 eV per atom. For the uncorrected formation energy, the calculation gives -0.454 eV/atom.